La4Ga2N PBE relaxed; uncorrected formation energy = -0.67 eV per atom; M_tot = 0.00 μB per atom; distance to the lowest polymorph of the same formula = 54.5 meV per atom; electronic total energy = -5.5434 eV/atom
1.0
6.800 0.000 -0.243
0.000 7.001 0.000
-2.783 0.000 8.750
La Ga N
8 4 2
direct
0.939 0.250 0.646
0.507 0.002 0.264
0.493 0.998 0.736
0.097 0.750 0.933
0.493 0.502 0.736
0.903 0.250 0.067
0.507 0.498 0.264
0.061 0.750 0.354
0.224 0.250 0.421
0.312 0.250 0.962
0.688 0.750 0.038
0.776 0.750 0.579
0.269 0.750 0.198
0.731 0.250 0.802